Record 1
ZnCuRe: PBEsol geometry, SCAN.

Properties
Symmetry: F-43m (216)
Energy relative to the lowest polymorph listed for this composition in meV per atom: 986
V in Å³/f.u.: 48.59
Energy of formation from the pure elements in meV per atom: 1150.9

Unit cell a=4.0960 b=4.0960 c=4.0960 alpha=60.00 beta=60.00 gamma=60.00
Each line ends with the local moment (μB).
Atoms (fractional coordinates):
Zn  0.0000  0.0000  0.0000  0.04
Re  0.2500  0.2500  0.2500  1.41
Cu  0.5000  0.5000  0.5000  0.18

=====

Record 2
ZnCu2Re: PBEsol geometry, SCAN.

Properties
Symmetry: Pmm2 (25)
Energy relative to the lowest polymorph listed for this composition in meV per atom: 137
V in Å³/f.u.: 50.52
Energy of formation from the pure elements in meV per atom: 254.9

Unit cell a=2.5949 b=3.5506 c=5.4830 alpha=90.00 beta=90.00 gamma=90.00
Atoms (fractional coordinates):
Zn  0.5000  0.5000  0.7681
Cu  0.5000  0.5000  0.2376
Re  0.0000  0.0000  0.4918
Cu  0.0000  0.0000  0.0025

=====

Record 3
ZnCu2Re: PBEsol geometry, SCAN.

Properties
Symmetry: P4/mmm (123)
Energy relative to the lowest polymorph listed for this composition in meV per atom: 169
V in Å³/f.u.: 51.16
Energy of formation from the pure elements in meV per atom: 287.1

Unit cell a=2.6208 b=4.4183 c=4.4183 alpha=90.00 beta=90.00 gamma=90.00
Each line ends with the local moment (μB).
Atoms (fractional coordinates):
Zn  0.5000  0.0000  0.0000  -0.02
Cu  0.0000  0.0000  0.5000  0.04
Re  0.5000  0.5000  0.5000  0.39
Cu  0.0000  0.5000  0.0000  0.04

=====

Record 4
Zn2CuRe: PBEsol geometry, SCAN.

Properties
Symmetry: I-4m2 (119)
Energy relative to the lowest polymorph listed for this composition in meV per atom: 197
V in Å³/f.u.: 52.86
Energy of formation from the pure elements in meV per atom: 348.8

Unit cell a=3.6445 b=3.6445 c=4.7415 alpha=112.60 beta=112.60 gamma=90.00
Atoms (fractional coordinates):
Cu  0.5000  0.5000  0.0000
Zn  0.0000  0.0000  0.0000
Zn  0.7500  0.2500  0.5000
Re  0.2500  0.7500  0.5000

=====

Record 5
Zn2CuRe: PBEsol geometry, SCAN.

Properties
Symmetry: P4mm (99)
Energy relative to the lowest polymorph listed for this composition in meV per atom: 0
V in Å³/f.u.: 53.02
Energy of formation from the pure elements in meV per atom: 151.3

Unit cell a=2.6129 b=2.6129 c=7.7652 alpha=90.00 beta=90.00 gamma=90.00
Atoms (fractional coordinates):
Cu  0.0000  0.0000  0.4938
Zn  0.5000  0.5000  0.2606
Zn  0.0000  0.0000  0.0034
Re  0.5000  0.5000  0.7422

=====

Record 6
ZnCuRe: PBEsol geometry, SCAN.

Properties
Symmetry: I4mm (107)
Energy relative to the lowest polymorph listed for this composition in meV per atom: 0
V in Å³/f.u.: 39.33
Energy of formation from the pure elements in meV per atom: 164.7

Unit cell a=2.5873 b=2.5873 c=6.1538 alpha=102.13 beta=102.13 gamma=90.00
Atoms (fractional coordinates):
Re  0.3364  0.3364  0.6728
Cu  0.0030  0.0030  0.0059
Zn  0.6606  0.6606  0.3213

=====

Question: What is the energy of formation from the pure elements in the second record?
Answer: 254.9 meV per atom

=====

Question: Which of these has the lowest energy of formation from the pure elements?
Answer: number 5